No. 1
Below is a relaxed ZnSn3Ir3 crystal, with properties calculated at the PBE-GGA level.

Structure (CIF):
```
data_ZnSn3Ir3
_symmetry_space_group_name_H-M 'P 21 3'
_symmetry_Int_Tables_number 198
_symmetry_space_group_name_Hall 'P 2ac 2ab 3'
_cell_length_a 7.988
_cell_length_b 7.988
_cell_length_c 7.988
_cell_angle_alpha 90.00
_cell_angle_beta 90.00
_cell_angle_gamma 90.00
loop_
_atom_site_label
_atom_site_type_symbol
_atom_site_fract_x
_atom_site_fract_y
_atom_site_fract_z
Zn1 Zn 0.084 0.416 0.584
Sn1 Sn 0.050 0.550 0.950
Sn2 Sn 0.127 0.127 0.127
Sn3 Sn 0.211 0.789 0.289
Ir1 Ir 0.051 0.740 0.653
```

Summary:
ΔH_f (0 K) (eV/atom): -0.01
Total magnetic moment (μB/cell): 0.00

No. 2
Below is a relaxed Nd2DyBi2 crystal, with properties calculated at the PBE-GGA level.

Structure (CIF):
```
data_Nd2DyBi2
_symmetry_space_group_name_H-M 'I 41/a m d'
_symmetry_Int_Tables_number 141
_cell_length_a 4.512
_cell_length_b 4.512
_cell_length_c 34.101
_cell_angle_alpha 90.00
_cell_angle_beta 90.00
_cell_angle_gamma 90.00
loop_
_symmetry_equiv_pos_as_xyz
'x,y,z'
'-x,-y,-z'
'-y+1/4,x+3/4,z+1/4'
'y+1/4,-x+3/4,-z+1/4'
'-x+1/2,-y,z+1/2'
'x+1/2,y,-z+1/2'
'y+1/4,-x+1/4,z+3/4'
'-y+1/4,x+1/4,-z+3/4'
'x,-y,-z'
'-x,y,z'
'-y+1/4,-x+1/4,-z+3/4'
'y+1/4,x+1/4,z+3/4'
'-x+1/2,y,-z+1/2'
'x+1/2,-y,z+1/2'
'y+1/4,x+3/4,-z+1/4'
'-y+1/4,-x+3/4,z+1/4'
'x+1/2,y+1/2,z+1/2'
'-x+1/2,-y+1/2,-z+1/2'
'-y+3/4,x+1/4,z+3/4'
'y+3/4,-x+1/4,-z+3/4'
'-x,-y+1/2,z'
'x,y+1/2,-z'
'y+3/4,-x+3/4,z+1/4'
'-y+3/4,x+3/4,-z+1/4'
'x+1/2,-y+1/2,-z+1/2'
'-x+1/2,y+1/2,z+1/2'
'-y+3/4,-x+3/4,-z+1/4'
'y+3/4,x+3/4,z+1/4'
'-x,y+1/2,-z'
'x,-y+1/2,z'
'y+3/4,x+1/4,-z+3/4'
'-y+3/4,-x+1/4,z+3/4'
loop_
_atom_site_label
_atom_site_type_symbol
_atom_site_fract_x
_atom_site_fract_y
_atom_site_fract_z
Nd1 Nd 0.000 0.250 0.039
Dy1 Dy 0.000 0.250 0.375
Bi1 Bi 0.000 0.250 0.191
```

Summary:
ΔH_f (0 K) (eV/atom): -0.47
Total magnetic moment (μB/cell): 0.00

No. 3
Below is a relaxed KCaO crystal, with properties calculated at the PBE-GGA level.

Structure (CIF):
```
data_KCaO
_symmetry_space_group_name_H-M 'P 3 m 1'
_symmetry_Int_Tables_number 156
_cell_length_a 3.6624
_cell_length_b 3.6624
_cell_length_c 6.8536
_cell_angle_alpha 90.00
_cell_angle_beta 90.00
_cell_angle_gamma 120.00
loop_
_symmetry_equiv_pos_as_xyz
'x,y,z'
'-y,x-y,z'
'-x+y,-x,z'
'-y,-x,z'
'-x+y,y,z'
'x,x-y,z'
loop_
_atom_site_label
_atom_site_type_symbol
_atom_site_fract_x
_atom_site_fract_y
_atom_site_fract_z
K1 K 0.0000 0.0000 0.0000
Ca1 Ca 0.6667 0.3333 0.5830
O1 O 0.3333 0.6667 0.7136
```

Summary:
Relative energy among the computed polymorphs (meV/atom): 89
Formation energy from raw total energies (eV/atom): -1.642
Total magnetic moment (μB/cell): 0.00

No. 4
Below is a relaxed AcNiBRh2 crystal, with properties calculated at the PBE-GGA level.

Structure (CIF):
```
data_AcNiBRh2
_symmetry_space_group_name_H-M 'P 4/m m m'
_symmetry_Int_Tables_number 123
_symmetry_space_group_name_Hall '-P 4 2'
_cell_length_a 4.344
_cell_length_b 4.344
_cell_length_c 4.202
_cell_angle_alpha 90.00
_cell_angle_beta 90.00
_cell_angle_gamma 90.00
loop_
_atom_site_label
_atom_site_type_symbol
_atom_site_fract_x
_atom_site_fract_y
_atom_site_fract_z
Ac1 Ac 0.000 0.000 0.000
Ni1 Ni 0.500 0.500 0.000
B1 B 0.500 0.500 0.500
Rh1 Rh 0.000 0.500 0.500
```

Summary:
ΔH_f (0 K) (eV/atom): -0.52
Total magnetic moment (μB/cell): 0.00

No. 5
Below is a relaxed SrAg6 crystal, with properties calculated at the PBE-GGA level.

Structure (CIF):
```
data_SrAg6
_symmetry_space_group_name_H-M 'P n m a'
_symmetry_Int_Tables_number 62
_cell_length_a 9.134
_cell_length_b 5.742
_cell_length_c 11.506
_cell_angle_alpha 90.00
_cell_angle_beta 90.00
_cell_angle_gamma 90.00
loop_
_symmetry_equiv_pos_as_xyz
'x,y,z'
'-x,-y,-z'
'-x+1/2,-y,z+1/2'
'x+1/2,y,-z+1/2'
'x+1/2,-y+1/2,-z+1/2'
'-x+1/2,y+1/2,z+1/2'
'-x,y+1/2,-z'
'x,-y+1/2,z'
loop_
_atom_site_label
_atom_site_type_symbol
_atom_site_fract_x
_atom_site_fract_y
_atom_site_fract_z
Sr1 Sr 0.241 0.250 0.064
Ag1 Ag 0.063 0.008 0.308
Ag2 Ag 0.066 0.750 0.091
Ag3 Ag 0.105 0.250 0.519
Ag4 Ag 0.147 0.750 0.855
Ag5 Ag 0.185 0.250 0.759
```

Summary:
Relative energy among the computed polymorphs (meV/atom): 0
ΔH_f (0 K) (eV/atom): -0.13
Total magnetic moment (μB/cell): 0.00

No. 6
Below is a relaxed YTaTl2 crystal, with properties calculated at the PBE-GGA level.

Structure (CIF):
```
data_YTaTl2
_symmetry_space_group_name_H-M 'F -4 3 m'
_symmetry_Int_Tables_number 216
_symmetry_space_group_name_Hall 'F -4 2 3'
_cell_length_a 7.453
_cell_length_b 7.453
_cell_length_c 7.453
_cell_angle_alpha 90.00
_cell_angle_beta 90.00
_cell_angle_gamma 90.00
loop_
_atom_site_label
_atom_site_type_symbol
_atom_site_fract_x
_atom_site_fract_y
_atom_site_fract_z
Y1 Y 0.000 0.000 0.000
Ta1 Ta 0.250 0.250 0.250
Tl1 Tl 0.000 0.000 0.500
Tl2 Tl 0.250 0.250 0.750
```

Summary:
ΔH_f (0 K) (eV/atom): 0.68
Total magnetic moment (μB/cell): 12.20

No. 7
Below is a relaxed Ni3C4 crystal, with properties calculated at the PBE-GGA level.

Structure (CIF):
```
data_Ni3C4
_symmetry_space_group_name_H-M 'I 4/m m m'
_symmetry_Int_Tables_number 139
_symmetry_space_group_name_Hall '-I 4 2'
_cell_length_a 2.812
_cell_length_b 2.812
_cell_length_c 15.595
_cell_angle_alpha 90.00
_cell_angle_beta 90.00
_cell_angle_gamma 90.00
loop_
_atom_site_label
_atom_site_type_symbol
_atom_site_fract_x
_atom_site_fract_y
_atom_site_fract_z
Ni1 Ni 0.000 0.000 0.000
Ni2 Ni 0.000 0.000 0.329
C1 C 0.000 0.000 0.204
C2 C 0.000 0.000 0.457
```

Summary:
Relative energy among the computed polymorphs (meV/atom): 271
ΔH_f (0 K) (eV/atom): 1.17
Total magnetic moment (μB/cell): 0.00

No. 8
Below is a relaxed Ac2ScCo crystal, with properties calculated at the PBE-GGA level.

Structure (CIF):
```
data_Ac2ScCo
_symmetry_space_group_name_H-M 'R -3 m'
_symmetry_Int_Tables_number 166
_symmetry_space_group_name_Hall '-R 3 2"'
_cell_length_a 3.6517
_cell_length_b 3.6517
_cell_length_c 32.9289
_cell_angle_alpha 90.00
_cell_angle_beta 90.00
_cell_angle_gamma 120.00
loop_
_atom_site_label
_atom_site_type_symbol
_atom_site_fract_x
_atom_site_fract_y
_atom_site_fract_z
Ac1 Ac 0.0000 0.0000 0.0792
Sc1 Sc 0.0000 0.0000 0.5000
Co1 Co 0.0000 0.0000 0.0000
```

Summary:
ΔH_f (0 K) (eV/atom): 0.71
Total magnetic moment (μB/cell): 4.02

No. 9
Below is a relaxed LiSn2Rh4 crystal, with properties calculated at the PBE-GGA level.

Structure (CIF):
```
data_LiSn2Rh4
_symmetry_space_group_name_H-M 'R -3 m'
_symmetry_Int_Tables_number 166
_symmetry_space_group_name_Hall '-R 3 2"'
_cell_length_a 4.3452
_cell_length_b 4.3452
_cell_length_c 21.2650
_cell_angle_alpha 90.00
_cell_angle_beta 90.00
_cell_angle_gamma 120.00
loop_
_atom_site_label
_atom_site_type_symbol
_atom_site_fract_x
_atom_site_fract_y
_atom_site_fract_z
Li1 Li 0.0000 0.0000 0.0000
Sn1 Sn 0.0000 0.0000 0.2493
Rh1 Rh 0.0000 0.0000 0.1256
Rh2 Rh 0.0000 0.0000 0.3755
```

Summary:
Relative energy among the computed polymorphs (meV/atom): 0
ΔH_f (0 K) (eV/atom): -0.37
Total magnetic moment (μB/cell): 0.00

No. 10
Below is a relaxed VCuRh3 crystal, with properties calculated at the PBE-GGA level.

Structure (CIF):
```
data_VCuRh3
_symmetry_space_group_name_H-M 'P m -3 m'
_symmetry_Int_Tables_number 221
_symmetry_space_group_name_Hall '-P 4 2 3'
_cell_length_a 4.454
_cell_length_b 4.454
_cell_length_c 4.454
_cell_angle_alpha 90.00
_cell_angle_beta 90.00
_cell_angle_gamma 90.00
loop_
_atom_site_label
_atom_site_type_symbol
_atom_site_fract_x
_atom_site_fract_y
_atom_site_fract_z
V1 V 0.000 0.000 0.000
Cu1 Cu 0.500 0.500 0.500
Rh1 Rh 0.000 0.000 0.500
```

Summary:
Relative energy among the computed polymorphs (meV/atom): 977
ΔH_f (0 K) (eV/atom): 0.81
Total magnetic moment (μB/cell): 0.00

No. 11
Below is a relaxed Tb2HoAgC crystal, with properties calculated at the PBE-GGA level.

Structure (CIF):
```
data_Tb2HoAgC
_symmetry_space_group_name_H-M 'P 4/m m m'
_symmetry_Int_Tables_number 123
_symmetry_space_group_name_Hall '-P 4 2'
_cell_length_a 4.947
_cell_length_b 4.947
_cell_length_c 4.822
_cell_angle_alpha 90.00
_cell_angle_beta 90.00
_cell_angle_gamma 90.00
loop_
_atom_site_label
_atom_site_type_symbol
_atom_site_fract_x
_atom_site_fract_y
_atom_site_fract_z
Tb1 Tb 0.000 0.500 0.000
Ho1 Ho 0.000 0.000 0.500
Ag1 Ag 0.500 0.500 0.500
C1 C 0.000 0.000 0.000
```

Summary:
ΔH_f (0 K) (eV/atom): -0.19
Total magnetic moment (μB/cell): 0.00

No. 12
Below is a relaxed Pm3Cd2Pd6 crystal, with properties calculated at the PBE-GGA level.

Structure (CIF):
```
data_Pm3Cd2Pd6
_symmetry_space_group_name_H-M 'I m -3 m'
_symmetry_Int_Tables_number 229
_symmetry_space_group_name_Hall '-I 4 2 3'
_cell_length_a 9.806
_cell_length_b 9.806
_cell_length_c 9.806
_cell_angle_alpha 90.00
_cell_angle_beta 90.00
_cell_angle_gamma 90.00
loop_
_atom_site_label
_atom_site_type_symbol
_atom_site_fract_x
_atom_site_fract_y
_atom_site_fract_z
Pm1 Pm 0.000 0.000 0.301
Cd1 Cd 0.250 0.250 0.250
Pd1 Pd 0.000 0.344 0.344
```

Summary:
ΔH_f (0 K) (eV/atom): -0.69
Total magnetic moment (μB/cell): 0.00

Please write out number 6 again, unchanged.
Below is a relaxed YTaTl2 crystal, with properties calculated at the PBE-GGA level.

Structure (CIF):
```
data_YTaTl2
_symmetry_space_group_name_H-M 'F -4 3 m'
_symmetry_Int_Tables_number 216
_symmetry_space_group_name_Hall 'F -4 2 3'
_cell_length_a 7.453
_cell_length_b 7.453
_cell_length_c 7.453
_cell_angle_alpha 90.00
_cell_angle_beta 90.00
_cell_angle_gamma 90.00
loop_
_atom_site_label
_atom_site_type_symbol
_atom_site_fract_x
_atom_site_fract_y
_atom_site_fract_z
Y1 Y 0.000 0.000 0.000
Ta1 Ta 0.250 0.250 0.250
Tl1 Tl 0.000 0.000 0.500
Tl2 Tl 0.250 0.250 0.750
```

Summary:
ΔH_f (0 K) (eV/atom): 0.68
Total magnetic moment (μB/cell): 12.20